#w
Crystalline SnCBr3 at its relaxed geometry. Source: Alexandria via LeMat-Bulk, functional GGA-PBE.

Values from the calculation:
Size of the total moment ... 1.7 μB/f.u.
Fermi-level density of states ... 9.84 states/eV per cell

Lattice parameters (Å, degrees): 5.5820 5.5820 5.5820 90.00 90.00 90.00
With the nearest neighbours (Å) after each atom.
Space group Pm-3m (No. 221)
One atom of each set of equivalent atoms:
Sn: 0.0000 0.0000 0.0000  6 Br 2.79
C: 0.5000 0.5000 0.5000  12 Br 3.95
Br: 0.0000 0.0000 0.5000  2 Sn 2.79

=====

#x
Crystalline SnCBr3 at its relaxed geometry. Source: Alexandria via LeMat-Bulk, functional GGA-PBE.

Values from the calculation:
Size of the total moment ... 0.0 μB/f.u.
Fermi-level density of states ... 1.15 states/eV per cell

Lattice parameters (Å, degrees): 4.8407 4.8407 4.8407 90.00 90.00 90.00
With the nearest neighbours (Å) after each atom.
Space group Pm-3m (No. 221)
One atom of each set of equivalent atoms:
Sn: 0.0000 0.0000 0.0000  12 Br 3.42
C: 0.5000 0.5000 0.5000  6 Br 2.42
Br: 0.0000 0.5000 0.5000  2 C 2.42

=====

According to the calculations, the structures order from most to least stable as #x, #w.

=====

#w
Crystalline Sn2CBr at its relaxed geometry. Source: Alexandria via LeMat-Bulk, functional GGA-PBE.

Values from the calculation:
Size of the total moment ... 0.0 μB/f.u.
Fermi-level density of states ... 14.58 states/eV per cell

Lattice parameters (Å, degrees): 7.0195 7.0195 7.0195 90.00 90.00 90.00
With the nearest neighbours (Å) after each atom.
Space group Fm-3m (No. 225)
One atom of each set of equivalent atoms:
Sn: 0.2500 0.2500 0.2500  4 Br 3.04, 4 C 3.04
C: 0.0000 0.0000 0.0000  8 Sn 3.04
Br: 0.0000 0.0000 0.5000  8 Sn 3.04

=====

#x
Crystalline Sn2CBr at its relaxed geometry. Source: Alexandria via LeMat-Bulk, functional GGA-PBE.

Values from the calculation:
Size of the total moment ... 0.0 μB/f.u.
Fermi-level density of states ... 9.22 states/eV per cell

Lattice parameters (Å, degrees): 7.0791 7.0791 7.8853 90.00 90.00 90.00
With the nearest neighbours (Å) after each atom.
Space group I-42d (No. 122)
One atom of each set of equivalent atoms:
Sn: 0.1477 0.7500 0.1250  2 C 2.28
C: 0.0000 0.0000 0.0000  4 Sn 2.28
Br: 0.0000 0.0000 0.5000  4 Sn 3.21

=====

According to the calculations, the structures order from most to least stable as #x, #w.

=====

#w
Crystalline TaC2Br at its relaxed geometry. Source: Alexandria via LeMat-Bulk, functional GGA-PBE.

Values from the calculation:
Size of the total moment ... 0.0 μB/f.u.
Fermi-level density of states ... 12.30 states/eV per cell

Lattice parameters (Å, degrees): 5.4307 5.4307 10.1477 90.00 90.00 90.00
With the nearest neighbours (Å) after each atom.
Space group I-42d (No. 122)
One atom of each set of equivalent atoms:
Ta: 0.0000 0.0000 0.0000  4 C 2.04
C: 0.1551 0.2500 0.1250  2 Ta 2.04
Br: 0.0000 0.0000 0.5000  4 C 2.64

=====

#x
Crystalline TaC2Br at its relaxed geometry. Source: Alexandria via LeMat-Bulk, functional GGA-PBE.

Values from the calculation:
Size of the total moment ... 0.0 μB/f.u.
Fermi-level density of states ... 10.18 states/eV per cell

Lattice parameters (Å, degrees): 5.8015 5.8015 5.8015 90.00 90.00 90.00
With the nearest neighbours (Å) after each atom.
Space group Fm-3m (No. 225)
One atom of each set of equivalent atoms:
Ta: 0.0000 0.0000 0.0000  8 C 2.51
C: 0.2500 0.2500 0.2500  4 Ta 2.51, 4 Br 2.51
Br: 0.0000 0.0000 0.5000  8 C 2.51

=====

According to the calculations, the structures order from most to least stable as #w, #x.

=====

#w
Crystalline TcCBr2 at its relaxed geometry. Source: Alexandria via LeMat-Bulk, functional GGA-PBE.

Values from the calculation:
Size of the total moment ... 0.0 μB/f.u.
Fermi-level density of states ... 9.52 states/eV per cell

Lattice parameters (Å, degrees): 6.3328 6.3328 6.3328 90.00 90.00 90.00
With the nearest neighbours (Å) after each atom.
Space group Fm-3m (No. 225)
One atom of each set of equivalent atoms:
Tc: 0.0000 0.0000 0.0000  8 Br 2.74
C: 0.0000 0.0000 0.5000  8 Br 2.74
Br: 0.2500 0.2500 0.2500  4 Tc 2.74, 4 C 2.74

=====

#x
Crystalline TcCBr2 at its relaxed geometry. Source: Alexandria via LeMat-Bulk, functional GGA-PBE.

Values from the calculation:
Size of the total moment ... 0.2 μB/f.u.
Fermi-level density of states ... 3.45 states/eV per cell

Lattice parameters (Å, degrees): 3.5989 8.1401 9.3185 72.07 78.99 77.79
With the nearest neighbours (Å) after each atom.
Space group P1 (No. 1)
One atom of each set of equivalent atoms:
Tc: 0.0000 0.0000 0.0000  1 C 1.74
Tc: 0.3790 0.9438 0.2995  1 C 1.81
C: 0.1200 0.8140 0.9356  1 Tc 1.74, 1 Br 1.80
C: 0.4641 0.9756 0.0962  3 Tc 1.81-1.99
Br: 0.2406 0.6208 0.8707  1 C 1.80
Br: 0.4767 0.6317 0.4048  1 Tc 2.40
Br: 0.7530 0.1253 0.3786  2 Tc 2.54
Br: 0.9935 0.2479 0.7727  1 Tc 2.43

=====

#y
Crystalline TcCBr2 at its relaxed geometry. Source: Alexandria via LeMat-Bulk, functional GGA-PBE.

Values from the calculation:
Size of the total moment ... 0.0 μB/f.u.
Fermi-level density of states ... 1.37 states/eV per cell

Lattice parameters (Å, degrees): 3.2287 3.6502 8.2228 77.32 81.08 64.04
With the nearest neighbours (Å) after each atom.
Space group P1 (No. 1)
One atom of each set of equivalent atoms:
Tc: 0.0000 0.0000 0.0000  3 C 1.94-2.10
C: 0.2984 0.4075 0.0001  3 Tc 1.94-2.10
Br: 0.4569 0.8754 0.2651  1 C 2.53, 2 Tc 2.67
Br: 0.5552 0.0995 0.7350  1 C 2.53, 2 Tc 2.67

=====

According to the calculations, the structures order from most to least stable as #x, #y, #w.

=====

#w
Crystalline TeCBr3 at its relaxed geometry. Source: Alexandria via LeMat-Bulk, functional GGA-PBE.

Values from the calculation:
Size of the total moment ... 2.0 μB/f.u.
Fermi-level density of states ... 9.97 states/eV per cell

Lattice parameters (Å, degrees): 5.5883 5.5883 5.5883 90.00 90.00 90.00
With the nearest neighbours (Å) after each atom.
Space group Pm-3m (No. 221)
One atom of each set of equivalent atoms:
Te: 0.0000 0.0000 0.0000  6 Br 2.79
C: 0.5000 0.5000 0.5000  12 Br 3.95
Br: 0.0000 0.0000 0.5000  2 Te 2.79

=====

#x
Crystalline TeCBr3 at its relaxed geometry. Source: Alexandria via LeMat-Bulk, functional GGA-PBE.

Values from the calculation:
Size of the total moment ... 0.0 μB/f.u.
Fermi-level density of states ... 2.87 states/eV per cell

Lattice parameters (Å, degrees): 4.8120 4.8120 4.8120 90.00 90.00 90.00
With the nearest neighbours (Å) after each atom.
Space group Pm-3m (No. 221)
One atom of each set of equivalent atoms:
Te: 0.0000 0.0000 0.0000  12 Br 3.40
C: 0.5000 0.5000 0.5000  6 Br 2.41
Br: 0.0000 0.5000 0.5000  2 C 2.41

=====

According to the calculations, the structures order from most to least stable as #x, #w.

=====

#w
Crystalline TeC2Br at its relaxed geometry. Source: Alexandria via LeMat-Bulk, functional GGA-PBE.

Values from the calculation:
Size of the total moment ... 0.0 μB/f.u.
Fermi-level density of states ... 10.62 states/eV per cell

Lattice parameters (Å, degrees): 6.0219 6.0219 8.3748 90.00 90.00 90.00
With the nearest neighbours (Å) after each atom.
Space group I-42d (No. 122)
One atom of each set of equivalent atoms:
Te: 0.0000 0.0000 0.0000  4 C 2.24
C: 0.2130 0.2500 0.1250  2 Te 2.24
Br: 0.0000 0.0000 0.5000  4 C 2.52

=====

#x
Crystalline TeC2Br at its relaxed geometry. Source: Alexandria via LeMat-Bulk, functional GGA-PBE.

Values from the calculation:
Size of the total moment ... 0.0 μB/f.u.
Fermi-level density of states ... 9.14 states/eV per cell

Lattice parameters (Å, degrees): 6.2570 6.2570 6.2570 90.00 90.00 90.00
With the nearest neighbours (Å) after each atom.
Space group Fm-3m (No. 225)
One atom of each set of equivalent atoms:
Te: 0.0000 0.0000 0.0000  8 C 2.71
C: 0.2500 0.2500 0.2500  4 Br 2.71, 4 Te 2.71
Br: 0.0000 0.0000 0.5000  8 C 2.71

=====

According to the calculations, the structures order from most to least stable as #w, #x.